Computed, not measured: a geometry-optimized Cs2TlPtBr6 structure at the GGA-PBE level of DFT.

magnetization = 0.0 μB/f.u.
symmetry = No. 225

abc: 7.942 7.942 7.942
angles: 60.00 60.00 60.00
Positions (direct):
Br 0.770 0.230 0.230
Br 0.230 0.770 0.230
Br 0.770 0.770 0.230
Br 0.230 0.230 0.770
Br 0.770 0.230 0.770
Br 0.230 0.770 0.770
Cs 0.250 0.250 0.250
Cs 0.750 0.750 0.750
Pt 0.000 0.000 0.000
Tl 0.500 0.500 0.500

Computed, not measured: a geometry-optimized AgSbAu structure at the GGA-PBE level of DFT.

symmetry = No. 62
E above lowest polymorph = 0 meV/atom

abc: 7.037 4.179 8.576
angles: 90.00 90.00 90.00
Positions (direct):
Ag 0.606 0.250 0.248
Ag 0.106 0.250 0.252
Ag 0.894 0.750 0.748
Ag 0.394 0.750 0.752
Au 0.884 0.750 0.089
Au 0.384 0.750 0.411
Au 0.616 0.250 0.589
Au 0.116 0.250 0.911
Sb 0.328 0.750 0.081
Sb 0.828 0.750 0.419
Sb 0.172 0.250 0.581
Sb 0.672 0.250 0.919

Computed, not measured: a geometry-optimized TbPrZn2Sn2 structure at the GGA-PBE level of DFT.

magnetization = 0.0 μB/f.u.
symmetry = No. 194
E above lowest polymorph = 0 meV/atom

abc: 4.545 4.545 16.337
angles: 90.00 90.00 120.00
Positions (direct):
Pr 0.000 0.000 0.000
Pr 0.000 0.000 0.500
Sn 0.333 0.667 0.119
Sn 0.333 0.667 0.381
Sn 0.667 0.333 0.619
Sn 0.667 0.333 0.881
Tb 0.000 0.000 0.250
Tb 0.000 0.000 0.750
Zn 0.667 0.333 0.162
Zn 0.667 0.333 0.338
Zn 0.333 0.667 0.662
Zn 0.333 0.667 0.838

Computed, not measured: a geometry-optimized Ho5Se6 structure at the GGA-PBE level of DFT.

magnetization = 0.0 μB/f.u.
symmetry = No. 12

abc: 6.970 6.970 6.966
angles: 99.63 99.63 119.81
Positions (direct):
Ho 0.665 0.335 0.000
Ho 0.335 0.665 0.000
Ho 0.834 0.166 0.500
Ho 0.500 0.500 0.500
Ho 0.166 0.834 0.500
Se 0.754 0.754 0.244
Se 0.411 0.082 0.247
Se 0.082 0.411 0.247
Se 0.918 0.589 0.753
Se 0.589 0.918 0.753
Se 0.246 0.246 0.756

Computed, not measured: a geometry-optimized HfTc4S2 structure at the GGA-PBE level of DFT.

magnetization = 0.0 μB/f.u.
symmetry = No. 156

abc: 3.585 3.585 11.353
angles: 90.02 90.02 60.02
Positions (direct):
Hf 0.000 0.000 0.686
S 0.667 0.667 0.071
S 0.333 0.333 0.363
Tc 0.667 0.667 0.273
Tc 0.000 0.000 0.446
Tc 0.667 0.667 0.838
Tc 0.000 0.000 0.992

Computed, not measured: a geometry-optimized NdNpGa structure at the GGA-PBE level of DFT.

magnetization = 5.0 μB/f.u.
symmetry = No. 216
E above lowest polymorph = 0 meV/atom

abc: 4.908 4.908 4.908
angles: 60.00 60.00 60.00
Positions (direct):
Ga 0.250 0.250 0.250
Nd 0.750 0.750 0.750
Np 0.000 0.000 0.000

Table of E (eV/atom), in record order: -3.005 -3.362 -3.958 -5.829 -8.267 -6.259